# Ba2LiCl | Alexandria | PBE-GGA | optimized geometry
data_Ba2LiCl
_space_group_name_H-M_alt 'P 1 2/m 1'
_space_group_IT_number 10
_cell_length_a 4.519
_cell_length_b 4.248
_cell_length_c 9.324
_cell_angle_alpha 90.00
_cell_angle_beta 90.14
_cell_angle_gamma 90.00
loop_
_space_group_symop_operation_xyz
'x,y,z'
'-x,-y,-z'
'-x,y,-z'
'x,-y,z'
loop_
_atom_site_label
_atom_site_type_symbol
_atom_site_fract_x
_atom_site_fract_y
_atom_site_fract_z
_atom_site_occupancy
Ba1 Ba 0.001 0.000 0.239 1
Li1 Li 0.500 0.500 0.000 1
Cl1 Cl 0.000 0.500 0.500 1
# E_tot, eV per atom: -2.693
# Formation energy without anion corrections, eV per atom: -0.79